CrHPdO (PBE+U, optimized geometry); energy = -5.78 eV/atom; M_tot = 10.00 μB/cell; DOS(E_F) = 1.019 states/eV/f.u.
1.0
3.049 0.000 0.000
-1.524 2.640 0.000
0.000 0.000 17.779
Cr Pd O H
3 3 3 3
Direct
0.000 0.000 0.370 Cr
0.333 0.667 0.036 Cr
0.667 0.333 0.703 Cr
0.000 0.000 0.516 Pd
0.333 0.667 0.183 Pd
0.667 0.333 0.850 Pd
0.667 0.333 0.989 O
0.000 0.000 0.656 O
0.333 0.667 0.323 O
0.333 0.667 0.826 H
0.667 0.333 0.493 H
0.000 0.000 0.159 H


CrHPdO (PBE+U, optimized geometry); energy = -5.86 eV/atom; M_tot = 7.13 μB/cell; DOS(E_F) = 1.291 states/eV/f.u.
1.0
2.884 0.000 0.000
0.000 2.898 0.000
0.000 0.000 10.966
H Pd O Cr
2 2 2 2
Direct
0.500 0.500 0.712 H
0.000 0.000 0.212 H
0.000 0.500 0.295 Pd
0.500 0.000 0.795 Pd
0.000 0.500 0.515 O
0.500 0.000 0.015 O
0.500 0.000 0.530 Cr
0.000 0.500 0.030 Cr


CrHPdO (PBE+U, optimized geometry); energy = -5.91 eV/atom; M_tot = 3.51 μB/cell; DOS(E_F) = 1.518 states/eV/f.u.
1.0
2.829 0.000 0.000
0.000 2.829 0.000
0.000 0.000 5.749
Cr H O Pd
1 1 1 1
Direct
0.500 0.500 0.000 Cr
0.000 0.000 0.500 H
0.000 0.000 0.000 O
0.500 0.500 0.500 Pd


CrHPdO (PBE+U, optimized geometry); energy = -5.92 eV/atom; M_tot = 6.45 μB/cell; DOS(E_F) = 0.744 states/eV/f.u.
1.0
5.717 0.000 -0.349
0.000 3.047 0.000
-1.369 0.000 5.157
Pd Cr H O
2 2 2 2
Direct
0.532 0.500 0.845 Pd
0.532 0.000 0.345 Pd
0.132 0.000 0.878 Cr
0.132 0.500 0.378 Cr
0.471 0.000 0.654 H
0.471 0.500 0.154 H
0.969 0.000 0.490 O
0.969 0.500 0.990 O


CrHPdO (PBE+U, optimized geometry); energy = -5.58 eV/atom; M_tot = 3.16 μB/cell; DOS(E_F) = 1.620 states/eV/f.u.
1.0
4.335 0.000 0.000
0.000 3.105 0.000
0.000 0.000 3.697
Cr H O Pd
1 1 1 1
Direct
0.000 0.000 0.750 Cr
0.500 0.000 0.753 H
0.000 0.000 0.249 O
0.500 0.500 0.522 Pd


CrHPdO (PBE+U, optimized geometry); energy = -5.85 eV/atom; M_tot = 3.84 μB/cell; DOS(E_F) = 0.760 states/eV/f.u.
1.0
-0.675 2.712 1.154
-1.655 1.981 -1.664
-4.415 -3.767 2.375
Cr H Pd O
1 1 1 1
Direct
0.519 0.867 0.674 Cr
0.282 0.685 0.024 H
0.739 0.098 0.340 Pd
0.232 0.624 0.859 O